No. 1
# Na2Cd4Cu

A geometry-optimized Na2Cd4Cu structure (PBE, Alexandria).

Its total magnetization is 0.00 μB per formula unit. The calculation puts the formation enthalpy at 0 K at 100 meV/atom. As for the density of states at the Fermi level: 3.30 states/eV/f.u.

The space group is I4/mmm (No. 139) and the conventional cell measures 5.0293, 5.0293 and 15.8838 Å, with angles of 90.00, 90.00 and 90.00 degrees. The asymmetric unit holds Na at (0.0000, 0.0000, 0.1400), Cd at (0.0000, 0.0000, 0.3347), Cd at (0.0000, 0.5000, 0.0000) and Cu at (0.0000, 0.0000, 0.5000).



No. 2
# Nd2MnSi4Pt3

A geometry-optimized Nd2MnSi4Pt3 structure (PBE, Alexandria).

Its total magnetization is 2.90 μB per formula unit. The uncorrected formation energy is -985.8 meV/atom. As for the density of states at the Fermi level: 5.17 states/eV/f.u.

The space group is P-4m2 (No. 115) and the conventional cell measures 4.2095, 4.2095 and 10.0818 Å, with angles of 90.00, 90.00 and 90.00 degrees. The asymmetric unit holds Nd at (0.0000, 0.5000, 0.2467), Mn at (0.0000, 0.0000, 0.5000), Si at (0.0000, 0.0000, 0.0000), Si at (0.0000, 0.5000, 0.6329), Si at (0.5000, 0.5000, 0.0000), Pt at (0.0000, 0.5000, 0.8782) and Pt at (0.5000, 0.5000, 0.5000).



No. 3
# Ac2La7Ho2

A geometry-optimized Ac2La7Ho2 structure (PBE, Alexandria).

Its total magnetization is 0.00 μB per formula unit. The calculation puts the formation enthalpy at 0 K at 267 meV/atom. As for the energy above the most stable polymorph in this dataset: 138.3 meV per atom. As for the density of states at the Fermi level: 15.90 states/eV/f.u.

The space group is C2/m (No. 12) and the conventional cell measures 9.6444, 10.0293 and 9.5068 Å, with angles of 90.00, 112.41 and 90.00 degrees. The asymmetric unit holds Ac at (0.1311, 0.0000, 0.4052), La at (0.0000, 0.5000, 0.5000), La at (0.1196, 0.3012, 0.7573), La at (0.1819, 0.5000, 0.1289) and Ho at (0.0000, 0.1578, 0.0000).



No. 4
# V2Cd2N

A geometry-optimized V2Cd2N structure (PBE, Alexandria).

Its total magnetization is 0.58 μB per formula unit. The uncorrected formation energy is 951.2 meV/atom. As for the energy above the most stable polymorph in this dataset: 0.0 meV per atom. As for the density of states at the Fermi level: 4.49 states/eV/f.u.

The space group is I4/mmm (No. 139) and the conventional cell measures 3.2032, 3.2032 and 15.8321 Å, with angles of 90.00, 90.00 and 90.00 degrees. The asymmetric unit holds V at (0.0000, 0.5000, 0.2500), Cd at (0.0000, 0.0000, 0.0887) and N at (0.0000, 0.0000, 0.5000).



No. 5
# MgTePdRh

A geometry-optimized MgTePdRh structure (PBE, Alexandria).

Its total magnetization is 0.00 μB per formula unit. The uncorrected formation energy is -373.8 meV/atom. As for the density of states at the Fermi level: 2.18 states/eV/f.u.

The space group is F-43m (No. 216) and the conventional cell measures 6.5192, 6.5192 and 6.5192 Å, with angles of 90.00, 90.00 and 90.00 degrees. The asymmetric unit holds Mg at (0.0000, 0.0000, 0.0000), Te at (0.0000, 0.0000, 0.5000), Pd at (0.2500, 0.2500, 0.2500) and Rh at (0.2500, 0.2500, 0.7500).



No. 6
# PaInAg2Te4

A geometry-optimized PaInAg2Te4 structure (PBE, Alexandria).

Its total magnetization is 0.16 μB per formula unit. The uncorrected formation energy is -245.1 meV/atom. As for the density of states at the Fermi level: 1.26 states/eV/f.u.

The space group is I222 (No. 23) and the conventional cell measures 7.4735, 8.0103 and 8.0180 Å, with angles of 90.00, 90.00 and 90.00 degrees. The asymmetric unit holds Pa at (0.0000, 0.0000, 0.0000), In at (0.0000, 0.5000, 0.0000), Ag at (0.0000, 0.3235, 0.5000) and Te at (0.2346, 0.1792, 0.2427).



| no. | V (Å³/atom) | total DFT energy (no corrections) (eV/cell) |
| --- | --- | --- |
| 1 | 28.70 | -19.4 |
| 2 | 17.86 | -68.4 |
| 3 | 38.64 | -97.9 |
| 4 | 16.24 | -47.3 |
| 5 | 17.32 | -75.1 |
| 6 | 30.00 | -64.9 |